Entry 1:
DFT (PBE) results for a geometry-optimized La8Nd3Tm2 structure.

a = 11.0030 Å, b = 11.0030 Å, c = 5.9343 Å
α = 90.02°, β = 90.02°, γ = 41.31°
Closest atoms and distances in Å follow each position.
Sites, in units of the cell vectors:
La (0.0969, 0.6887, 0.9992)  1 La 3.17, 1 Nd 3.19, 1 Tm 3.50
La (0.1762, 0.1762, 0.5012)  2 Tm 3.42, 4 La 3.65
La (0.3113, 0.9031, 0.0008)  1 La 3.17, 1 Nd 3.19, 1 Tm 3.50
La (0.3647, 0.3647, 0.4999)  2 Nd 3.55, 2 Tm 3.68-3.69, 7 La 3.79-3.97
La (0.6353, 0.6353, 0.5001)  2 Nd 3.55, 2 Tm 3.68-3.69, 7 La 3.79-3.97
La (0.6887, 0.0969, 0.9992)  1 La 3.17, 1 Nd 3.19, 1 Tm 3.50
La (0.8238, 0.8238, 0.4988)  2 Tm 3.42, 4 La 3.65
La (0.9031, 0.3113, 0.0008)  1 La 3.17, 1 Nd 3.19, 1 Tm 3.50
Nd (0.2170, 0.7830, 0.5000)  3 Nd 3.37-3.69, 6 La 3.55-3.70
Nd (0.5000, 0.5000, 0.0000)  4 La 3.19
Nd (0.7830, 0.2170, 0.5000)  3 Nd 3.37-3.69, 6 La 3.55-3.70
Tm (0.2588, 0.2588, 0.0011)  8 La 3.42-3.69
Tm (0.7412, 0.7412, 0.9989)  8 La 3.42-3.69

Results
Formation energy   0.183 eV/atom
Symmetry   C2/m (12)
Energy above the lowest structure with this stoichiometry   41 meV per atom
Electronic total energy   -4.638 eV per atom

***

Entry 2:
DFT (PBE) results for a geometry-optimized La6NdTm8 structure.

a = 8.8202 Å, b = 8.8202 Å, c = 8.8202 Å
α = 61.51°, β = 61.51°, γ = 61.51°
Closest atoms and distances in Å follow each position.
Sites, in units of the cell vectors:
La (0.0331, 0.7347, 0.5898)  4 Tm 3.33-3.58, 1 Nd 3.49, 2 La 3.53
La (0.2653, 0.4102, 0.9669)  4 Tm 3.33-3.58, 1 Nd 3.49, 2 La 3.53
La (0.4102, 0.9669, 0.2653)  4 Tm 3.33-3.58, 1 Nd 3.49, 2 La 3.53
La (0.5898, 0.0331, 0.7347)  4 Tm 3.33-3.58, 1 Nd 3.49, 2 La 3.53
La (0.7347, 0.5898, 0.0331)  4 Tm 3.33-3.58, 1 Nd 3.49, 2 La 3.53
La (0.9669, 0.2653, 0.4102)  4 Tm 3.33-3.58, 1 Nd 3.49, 2 La 3.53
Nd (0.5000, 0.5000, 0.5000)  6 La 3.49, 6 Tm 3.59
Tm (0.0764, 0.0764, 0.0764)  4 Tm 3.26-3.41, 3 La 3.58
Tm (0.1989, 0.2689, 0.6146)  3 La 3.33-3.58, 5 Tm 3.41-3.48, 1 Nd 3.59
Tm (0.2689, 0.6146, 0.1989)  3 La 3.33-3.58, 5 Tm 3.41-3.48, 1 Nd 3.59
Tm (0.3854, 0.8011, 0.7311)  3 La 3.33-3.58, 5 Tm 3.41-3.48, 1 Nd 3.59
Tm (0.6146, 0.1989, 0.2689)  3 La 3.33-3.58, 5 Tm 3.41-3.48, 1 Nd 3.59
Tm (0.7311, 0.3854, 0.8011)  3 La 3.33-3.58, 5 Tm 3.41-3.48, 1 Nd 3.59
Tm (0.8011, 0.7311, 0.3854)  3 La 3.33-3.58, 5 Tm 3.41-3.48, 1 Nd 3.59
Tm (0.9236, 0.9236, 0.9236)  4 Tm 3.26-3.41, 3 La 3.58

Results
Formation energy   0.120 eV/atom
Symmetry   R-3 (148)
Electronic total energy   -4.553 eV per atom

***

Entry 3:
DFT (PBE) results for a geometry-optimized La12Nd2Tm5 structure.

a = 8.9111 Å, b = 8.9111 Å, c = 9.5342 Å
α = 110.02°, β = 110.02°, γ = 83.22°
Closest atoms and distances in Å follow each position.
Sites, in units of the cell vectors:
La (0.0233, 0.5479, 0.6883)  3 La 3.28-3.45, 2 Tm 3.41-3.59, 1 Nd 3.44
La (0.0630, 0.0630, 0.2712)  4 La 3.38-3.56, 2 Tm 3.46-3.68, 2 Nd 3.66
La (0.1381, 0.6528, 0.0931)  5 La 3.45-3.85, 1 Nd 3.49, 4 Tm 3.51-3.79
La (0.3472, 0.8619, 0.9069)  5 La 3.45-3.85, 1 Nd 3.49, 4 Tm 3.51-3.79
La (0.4022, 0.4022, 0.5807)  5 La 3.58-3.86, 4 Tm 3.59-3.82, 2 Nd 3.85
La (0.4521, 0.9767, 0.3117)  3 La 3.28-3.45, 2 Tm 3.41-3.59, 1 Nd 3.44
La (0.5479, 0.0233, 0.6883)  3 La 3.28-3.45, 2 Tm 3.41-3.59, 1 Nd 3.44
La (0.5978, 0.5978, 0.4193)  5 La 3.58-3.86, 4 Tm 3.59-3.82, 2 Nd 3.85
La (0.6528, 0.1381, 0.0931)  5 La 3.45-3.85, 1 Nd 3.49, 4 Tm 3.51-3.79
La (0.8619, 0.3472, 0.9069)  5 La 3.45-3.85, 1 Nd 3.49, 4 Tm 3.51-3.79
La (0.9370, 0.9370, 0.7288)  4 La 3.38-3.56, 2 Tm 3.46-3.68, 2 Nd 3.66
La (0.9767, 0.4521, 0.3117)  3 La 3.28-3.45, 2 Tm 3.41-3.59, 1 Nd 3.44
Nd (0.2119, 0.7881, 0.5000)  6 La 3.44-3.66, 2 Tm 3.58
Nd (0.7881, 0.2119, 0.5000)  6 La 3.44-3.66, 2 Tm 3.58
Tm (0.1981, 0.1981, 0.7342)  6 La 3.41-3.79, 2 Tm 3.47-3.64, 2 Nd 3.58
Tm (0.2815, 0.2815, 0.1366)  2 Tm 3.47-3.69, 9 La 3.51-3.82
Tm (0.5000, 0.5000, 0.0000)  6 La 3.59-3.62, 4 Tm 3.64-3.69
Tm (0.7185, 0.7185, 0.8634)  2 Tm 3.47-3.69, 9 La 3.51-3.82
Tm (0.8019, 0.8019, 0.2658)  6 La 3.41-3.79, 2 Tm 3.47-3.64, 2 Nd 3.58

Results
Formation energy   0.104 eV/atom
Symmetry   C2/m (12)
Electronic total energy   -4.687 eV per atom

***

Entry 4:
DFT (PBE) results for a geometry-optimized LaNd6Tm4 structure.

a = 11.1357 Å, b = 11.1357 Å, c = 3.5849 Å
α = 90.00°, β = 90.00°, γ = 120.00°
Closest atoms and distances in Å follow each position.
Sites, in units of the cell vectors:
La (0.0000, 0.0000, 0.0000)  2 La 3.58, 6 Tm 3.63, 6 Nd 3.96
Nd (0.1831, 0.3662, 0.5000)  4 Tm 3.36-3.41, 2 Nd 3.58
Nd (0.1831, 0.8169, 0.5000)  4 Tm 3.36-3.41, 2 Nd 3.58
Nd (0.5216, 0.0431, 0.0000)  5 Tm 3.55-3.63, 6 Nd 3.58-3.78
Nd (0.5216, 0.4784, 0.0000)  5 Tm 3.55-3.63, 6 Nd 3.58-3.78
Nd (0.6338, 0.8169, 0.5000)  4 Tm 3.36-3.41, 2 Nd 3.58
Nd (0.9569, 0.4784, 0.0000)  5 Tm 3.55-3.63, 6 Nd 3.58-3.78
Tm (0.3271, 0.1636, 0.5000)  6 Nd 3.36-3.55, 2 Tm 3.58, 2 La 3.63
Tm (0.3333, 0.6667, 0.0000)  9 Nd 3.41-3.63, 2 Tm 3.58
Tm (0.8364, 0.1636, 0.5000)  6 Nd 3.36-3.55, 2 Tm 3.58, 2 La 3.63
Tm (0.8364, 0.6729, 0.5000)  6 Nd 3.36-3.55, 2 Tm 3.58, 2 La 3.63

Results
Formation energy   0.155 eV/atom
Symmetry   P-6m2 (187)
Energy above the lowest structure with this stoichiometry   48 meV per atom
Electronic total energy   -4.520 eV per atom

***

Entry 5:
DFT (PBE) results for a geometry-optimized La4Nd5Tm3 structure.

a = 8.8180 Å, b = 8.8180 Å, c = 9.5333 Å
α = 115.32°, β = 115.32°, γ = 40.07°
Closest atoms and distances in Å follow each position.
Sites, in units of the cell vectors:
La (0.0842, 0.0842, 0.4418)  2 La 3.44-3.71, 6 Nd 3.48-3.82, 1 Tm 3.52
La (0.2191, 0.2191, 0.8766)  3 Tm 3.42-3.55, 3 La 3.68-3.71, 3 Nd 3.73-3.74
La (0.7809, 0.7809, 0.1234)  3 Tm 3.42-3.55, 3 La 3.68-3.71, 3 Nd 3.73-3.74
La (0.9158, 0.9158, 0.5582)  2 La 3.44-3.71, 6 Nd 3.48-3.82, 1 Tm 3.52
Nd (0.0000, 0.0000, 0.0000)  4 Tm 3.02-3.15
Nd (0.3294, 0.3294, 0.6121)  4 Tm 3.27-3.57, 3 La 3.48-3.62
Nd (0.4261, 0.4261, 0.2941)  2 Tm 3.34-3.53, 2 Nd 3.56-3.73, 2 La 3.74
Nd (0.5739, 0.5739, 0.7059)  2 Tm 3.34-3.53, 2 Nd 3.56-3.73, 2 La 3.74
Nd (0.6706, 0.6706, 0.3879)  4 Tm 3.27-3.57, 3 La 3.48-3.62
Tm (0.2099, 0.2099, 0.2281)  3 Nd 3.15-3.34, 2 La 3.42-3.52
Tm (0.5000, 0.5000, 0.0000)  2 Nd 3.02
Tm (0.7901, 0.7901, 0.7719)  3 Nd 3.15-3.34, 2 La 3.42-3.52

Results
Formation energy   0.200 eV/atom
Symmetry   C2/m (12)
Electronic total energy   -4.547 eV per atom

***

Entry 6:
DFT (PBE) results for a geometry-optimized LaNd4Tm8 structure.

a = 7.7995 Å, b = 7.7995 Å, c = 7.7995 Å
α = 89.92°, β = 89.92°, γ = 89.92°
Closest atoms and distances in Å follow each position.
Sites, in units of the cell vectors:
La (0.0000, 0.0000, 0.0000)  8 Tm 3.53-3.54, 6 Nd 3.90
Nd (0.0000, 0.0000, 0.5000)  8 Tm 3.43
Nd (0.0000, 0.5000, 0.0000)  8 Tm 3.43
Nd (0.5000, 0.0000, 0.0000)  8 Tm 3.43
Nd (0.5000, 0.5000, 0.5000)  8 Tm 3.22-3.23
Tm (0.2614, 0.2614, 0.2614)  4 Nd 3.23-3.43, 1 La 3.54
Tm (0.2608, 0.2608, 0.7380)  4 Nd 3.22-3.43, 1 La 3.53
Tm (0.2608, 0.7380, 0.2608)  4 Nd 3.22-3.43, 1 La 3.53
Tm (0.2620, 0.7392, 0.7392)  4 Nd 3.22-3.43, 1 La 3.53
Tm (0.7380, 0.2608, 0.2608)  4 Nd 3.22-3.43, 1 La 3.53
Tm (0.7392, 0.2620, 0.7392)  4 Nd 3.22-3.43, 1 La 3.53
Tm (0.7392, 0.7392, 0.2620)  4 Nd 3.22-3.43, 1 La 3.53
Tm (0.7386, 0.7386, 0.7386)  4 Nd 3.23-3.43, 1 La 3.54

Results
Formation energy   0.529 eV/atom
Symmetry   R-3m (166)
Electronic total energy   -4.069 eV per atom

***

Entry 7:
DFT (PBE) results for a geometry-optimized LaNd2Tm7 structure.

a = 9.4053 Å, b = 9.4053 Å, c = 5.4061 Å
α = 90.00°, β = 90.00°, γ = 125.82°
Closest atoms and distances in Å follow each position.
Sites, in units of the cell vectors:
La (0.0000, 0.0000, 0.0000)  10 Tm 3.46-3.62
Nd (0.2977, 0.7023, 0.5000)  7 Tm 3.10-3.47
Nd (0.7023, 0.2977, 0.5000)  7 Tm 3.10-3.47
Tm (0.0653, 0.2887, 0.5000)  2 Tm 3.03-3.34, 1 Nd 3.16
Tm (0.2068, 0.7932, 0.0000)  2 Nd 3.10, 1 La 3.46
Tm (0.2887, 0.0653, 0.5000)  2 Tm 3.03-3.34, 1 Nd 3.16
Tm (0.5000, 0.5000, 0.5000)  4 Tm 3.34, 2 Nd 3.39
Tm (0.7113, 0.9347, 0.5000)  2 Tm 3.03-3.34, 1 Nd 3.16
Tm (0.7932, 0.2068, 0.0000)  2 Nd 3.10, 1 La 3.46
Tm (0.9347, 0.7113, 0.5000)  2 Tm 3.03-3.34, 1 Nd 3.16

Results
Formation energy   0.690 eV/atom
Symmetry   Cmmm (65)
Energy above the lowest structure with this stoichiometry   664 meV per atom
Electronic total energy   -3.886 eV per atom

***

Entry 8:
DFT (PBE) results for a geometry-optimized LaNd6Tm structure.

a = 5.1827 Å, b = 5.1827 Å, c = 10.3817 Å
α = 90.00°, β = 90.00°, γ = 90.00°
Closest atoms and distances in Å follow each position.
Sites, in units of the cell vectors:
La (0.0000, 0.0000, 0.0000)  12 Nd 3.66-3.70
Nd (0.0000, 0.5000, 0.2548)  8 Nd 3.63-3.70, 2 Tm 3.63, 2 La 3.70
Nd (0.0000, 0.5000, 0.7452)  8 Nd 3.63-3.70, 2 Tm 3.63, 2 La 3.70
Nd (0.5000, 0.0000, 0.2548)  8 Nd 3.63-3.70, 2 Tm 3.63, 2 La 3.70
Nd (0.5000, 0.0000, 0.7452)  8 Nd 3.63-3.70, 2 Tm 3.63, 2 La 3.70
Nd (0.5000, 0.5000, 0.0000)  4 La 3.66, 8 Nd 3.70
Nd (0.5000, 0.5000, 0.5000)  8 Nd 3.63, 4 Tm 3.66
Tm (0.0000, 0.0000, 0.5000)  12 Nd 3.63-3.66

Results
Formation energy   0.019 eV/atom
Symmetry   P4/mmm (123)
Electronic total energy   -4.732 eV per atom

***

Entry 9:
DFT (PBE) results for a geometry-optimized La2Nd3Tm2 structure.

a = 9.1321 Å, b = 9.1321 Å, c = 8.6808 Å
α = 118.34°, β = 118.34°, γ = 22.48°
Closest atoms and distances in Å follow each position.
Sites, in units of the cell vectors:
La (0.0642, 0.0642, 0.2147)  3 La 3.30-3.56, 3 Nd 3.54-3.66, 2 Tm 3.69
La (0.9358, 0.9358, 0.7853)  3 La 3.30-3.56, 3 Nd 3.54-3.66, 2 Tm 3.69
Nd (0.2869, 0.2869, 0.3671)  5 Nd 3.41-3.63, 3 Tm 3.54-3.63, 3 La 3.54-3.75
Nd (0.5000, 0.5000, 0.5000)  4 Nd 3.41-3.56, 2 Tm 3.60, 4 La 3.66
Nd (0.7131, 0.7131, 0.6329)  5 Nd 3.41-3.63, 3 Tm 3.54-3.63, 3 La 3.54-3.75
Tm (0.3492, 0.3492, 0.0371)  4 Nd 3.54-3.63, 4 Tm 3.56-3.74, 4 La 3.69-3.82
Tm (0.6508, 0.6508, 0.9629)  4 Nd 3.54-3.63, 4 Tm 3.56-3.74, 4 La 3.69-3.82

Results
Formation energy   0.122 eV/atom
Symmetry   C2/m (12)
Energy above the lowest structure with this stoichiometry   99 meV per atom
Electronic total energy   -4.607 eV per atom

***

Entry 10:
DFT (PBE) results for a geometry-optimized La3Nd2Tm4 structure.

a = 9.9567 Å, b = 9.9567 Å, c = 3.5194 Å
α = 90.00°, β = 90.00°, γ = 120.12°
Closest atoms and distances in Å follow each position.
Sites, in units of the cell vectors:
La (0.0000, 0.0000, 0.0000)  2 La 3.52, 8 Tm 3.75, 4 Nd 3.77
La (0.3252, 0.6748, 0.0000)  2 La 3.52, 8 Tm 3.65-3.75, 4 Nd 3.86
La (0.6748, 0.3252, 0.0000)  2 La 3.52, 8 Tm 3.65-3.75, 4 Nd 3.86
Nd (0.3350, 0.3350, 0.5000)  3 Nd 3.28-3.52, 2 Tm 3.32
Nd (0.6650, 0.6650, 0.5000)  3 Nd 3.28-3.52, 2 Tm 3.32
Tm (0.0003, 0.3331, 0.5000)  4 Tm 3.31-3.52, 1 Nd 3.32, 2 La 3.65
Tm (0.9997, 0.6669, 0.5000)  4 Tm 3.31-3.52, 1 Nd 3.32, 2 La 3.65
Tm (0.3331, 0.0003, 0.5000)  4 Tm 3.31-3.52, 1 Nd 3.32, 2 La 3.65
Tm (0.6669, 0.9997, 0.5000)  4 Tm 3.31-3.52, 1 Nd 3.32, 2 La 3.65

Results
Formation energy   0.065 eV/atom
Symmetry   Cmmm (65)
Energy above the lowest structure with this stoichiometry   0 meV per atom
Electronic total energy   -4.624 eV per atom